# 1
GGA-PBE ZrF, relaxed; energy relative to the elements, uncorrected = -122.2 kJ per mole of atoms; spin magnetization = 0.37 Bohr magnetons per cell; DOS at the Fermi energy = 2.41 states/eV/f.u.; energy relative to the lowest polymorph listed for this composition = 0.993 eV per atom; mass density = 6.1 Mg/m³
1.0
0.000 2.473 2.473
2.473 0.000 2.473
2.473 2.473 0.000
Zr F
1 1
direct
0.000 0.000 0.000
0.500 0.500 0.500



# 2
GGA-PBE Tb3Pr2NdSb6, relaxed; energy relative to the elements, uncorrected = -112.6 kJ per mole of atoms; spin magnetization = 0.00 Bohr magnetons per cell; DOS at the Fermi energy = 1.93 states/eV/f.u.; mass density = 7.1 Mg/m³
1.0
9.748 -2.238 0.000
9.748 2.238 0.000
-2.039 0.000 8.710
Tb Pr Nd Sb
3 2 1 6
direct
0.000 0.000 0.000
0.333 0.333 0.667
0.667 0.667 0.333
0.334 0.334 0.167
0.666 0.666 0.833
0.000 0.000 0.500
0.165 0.165 0.089
0.168 0.168 0.577
0.498 0.498 0.754
0.502 0.502 0.246
0.832 0.832 0.423
0.835 0.835 0.911